[1]
Zr3SiSn after structural relaxation. Source: Alexandria, functional PBE.

Unit cell a=4.934 b=4.934 c=4.934 alpha=90.00 beta=90.00 gamma=90.00
Atoms (fractional coordinates):
Zr  0.000  0.000  0.500
Zr  0.000  0.500  0.000
Zr  0.500  0.000  0.000
Si  0.000  0.000  0.000
Sn  0.500  0.500  0.500

Properties
- Magnetic moment: 0.000 μB/f.u.
- Formation energy (no corrections): -0.097 eV/atom
- Space-group type: No. 221
- ΔE to the lowest computed polymorph: 0.00 kcal/mol of atoms
- ρ: 5.81 g cm⁻³
- DFT total energy: -7.11 eV per atom

***

[2]
Zr2Si2Sn after structural relaxation. Source: Alexandria, functional PBE.

Unit cell a=8.332 b=8.332 c=8.332 alpha=155.47 beta=155.47 gamma=34.97
Atoms (fractional coordinates):
Zr  0.116  0.116  0.000
Zr  0.884  0.884  0.000
Si  0.250  0.750  0.500
Si  0.750  0.250  0.500
Sn  0.500  0.500  0.000

Properties
- Magnetic moment: 0.000 μB/f.u.
- Formation energy (no corrections): -0.512 eV/atom
- Space-group type: No. 139
- ρ: 5.96 g cm⁻³
- DFT total energy: -6.90 eV per atom

***

[3]
Zr5Si2Sn after structural relaxation. Source: Alexandria, functional PBE.

Unit cell a=8.165 b=8.165 c=8.165 alpha=128.19 beta=128.19 gamma=76.32
Atoms (fractional coordinates):
Zr  0.000  0.000  0.000
Zr  0.024  0.524  0.830
Zr  0.194  0.024  0.500
Zr  0.306  0.806  0.830
Zr  0.476  0.306  0.500
Zr  0.500  0.500  0.000
Zr  0.524  0.694  0.500
Zr  0.694  0.194  0.170
Zr  0.806  0.976  0.500
Zr  0.976  0.476  0.170
Si  0.129  0.371  0.500
Si  0.371  0.871  0.242
Si  0.629  0.129  0.758
Si  0.871  0.629  0.500
Sn  0.250  0.250  0.000
Sn  0.750  0.750  0.000

Properties
- Magnetic moment: 0.000 μB/f.u.
- Formation energy (no corrections): -0.747 eV/atom
- Space-group type: No. 140
- ρ: 6.41 g cm⁻³
- DFT total energy: -7.95 eV per atom

***

[4]
Sr2Si after structural relaxation. Source: Alexandria, functional PBE.

Unit cell a=8.195 b=8.195 c=5.512 alpha=90.00 beta=90.00 gamma=147.71
Atoms (fractional coordinates):
Sr  0.059  0.941  0.750
Sr  0.242  0.758  0.250
Sr  0.758  0.242  0.750
Sr  0.941  0.059  0.250
Si  0.389  0.611  0.750
Si  0.611  0.389  0.250

Properties
- Magnetic moment: 0.000 μB/f.u.
- Formation energy (no corrections): -0.104 eV/atom
- Space-group type: No. 63
- ρ: 3.41 g cm⁻³
- DFT total energy: -3.03 eV per atom